(1)
Crystalline FeWCl2 at its relaxed geometry, computed with PBE-GGA.

a b c (Å): 4.4059 4.4059 4.4059
angles (deg): 107.64 107.64 113.19
Positions (direct):
Fe 0.0000 0.0000 0.0000
W 0.2500 0.7500 0.5000
Cl 0.5000 0.5000 0.0000
Cl 0.7500 0.2500 0.5000

Its total DFT energy (no corrections) is -5.29 eV/atom. For the relative energy among the computed polymorphs, the calculation gives 4.49 eV per formula unit. The value obtained for the formation energy without anion corrections is 0.986 eV/atom. The calculation puts the density of states at the Fermi level at 1.094 states/eV per atom. Its crystal system is tetragonal.

=====

(2)
Crystalline Fe2WCl at its relaxed geometry, computed with PBE-GGA.

a b c (Å): 8.0411 8.0411 8.0411
angles (deg): 21.05 21.05 21.05
Positions (direct):
Fe 0.2495 0.2495 0.2495
Fe 0.7505 0.7505 0.7505
W 0.0000 0.0000 0.0000
Cl 0.5000 0.5000 0.5000

Its total DFT energy (no corrections) is -7.59 eV/atom. For the relative energy among the computed polymorphs, the calculation gives 0.10 eV per formula unit. The value obtained for the formation energy without anion corrections is 0.344 eV/atom. The calculation puts the density of states at the Fermi level at 1.515 states/eV per atom. Its crystal system is trigonal.

=====

(3)
Crystalline Fe2WCl at its relaxed geometry, computed with PBE-GGA.

a b c (Å): 2.9488 3.0557 6.6268
angles (deg): 90.00 90.00 90.00
Positions (direct):
Fe 0.0000 0.0000 0.2032
Fe 0.0000 0.0000 0.7968
W 0.5000 0.5000 0.0000
Cl 0.5000 0.0000 0.5000

Its total DFT energy (no corrections) is -7.61 eV/atom. For the relative energy among the computed polymorphs, the calculation gives 0.00 eV per formula unit. The value obtained for the formation energy without anion corrections is 0.319 eV/atom. The calculation puts the density of states at the Fermi level at 1.009 states/eV per atom. Its crystal system is orthorhombic.

=====

(4)
Crystalline FeW2Cl at its relaxed geometry, computed with PBE-GGA.

a b c (Å): 2.7426 3.1973 7.0891
angles (deg): 90.00 90.00 90.00
Positions (direct):
Fe 0.0000 0.0000 0.0000
W 0.5000 0.5000 0.2040
W 0.5000 0.5000 0.7960
Cl 0.5000 0.0000 0.5000

Its total DFT energy (no corrections) is -8.53 eV/atom. For the relative energy among the computed polymorphs, the calculation gives 0.46 eV per formula unit. The value obtained for the formation energy without anion corrections is 0.524 eV/atom. The calculation puts the density of states at the Fermi level at 0.894 states/eV per atom. Its crystal system is orthorhombic.

=====

(5)
Crystalline FeWCl2 at its relaxed geometry, computed with PBE-GGA.

a b c (Å): 10.0359 10.0359 10.0359
angles (deg): 17.16 17.16 17.16
Positions (direct):
Fe 0.0000 0.0000 0.0000
W 0.5000 0.5000 0.5000
Cl 0.2275 0.2275 0.2275
Cl 0.7725 0.7725 0.7725

Its total DFT energy (no corrections) is -5.73 eV/atom. For the relative energy among the computed polymorphs, the calculation gives 2.75 eV per formula unit. The value obtained for the formation energy without anion corrections is 0.552 eV/atom. The calculation puts the density of states at the Fermi level at 1.084 states/eV per atom. Its crystal system is trigonal.

=====

(6)
Crystalline FeWCl2 at its relaxed geometry, computed with PBE-GGA.

a b c (Å): 7.3889 7.3889 4.3197
angles (deg): 99.92 99.92 23.09
Positions (direct):
Fe 0.0000 0.0000 0.0000
W 0.5000 0.5000 0.5000
Cl 0.1368 0.1368 0.6777
Cl 0.8632 0.8632 0.3223

Its total DFT energy (no corrections) is -6.10 eV/atom. For the relative energy among the computed polymorphs, the calculation gives 1.27 eV per formula unit. The value obtained for the formation energy without anion corrections is 0.181 eV/atom. The calculation puts the density of states at the Fermi level at 0.771 states/eV per atom. Its crystal system is monoclinic.

=====

(7)
Crystalline Fe2WCl at its relaxed geometry, computed with PBE-GGA.

a b c (Å): 8.2896 8.2896 8.2896
angles (deg): 19.95 19.95 19.95
Positions (direct):
Fe 0.0000 0.0000 0.0000
Fe 0.2598 0.2598 0.2598
W 0.5081 0.5081 0.5081
Cl 0.7595 0.7595 0.7595

Its total DFT energy (no corrections) is -7.52 eV/atom. For the relative energy among the computed polymorphs, the calculation gives 0.36 eV per formula unit. The value obtained for the formation energy without anion corrections is 0.410 eV/atom. The calculation puts the density of states at the Fermi level at 0.663 states/eV per atom. Its crystal system is trigonal.

=====

(8)
Crystalline Fe2WCl at its relaxed geometry, computed with PBE-GGA.

a b c (Å): 4.9173 4.9173 4.9173
angles (deg): 136.34 136.34 63.45
Positions (direct):
Fe 0.2500 0.7500 0.5000
Fe 0.7500 0.2500 0.5000
W 0.0000 0.0000 0.0000
Cl 0.5000 0.5000 0.0000

Its total DFT energy (no corrections) is -6.84 eV/atom. For the relative energy among the computed polymorphs, the calculation gives 3.07 eV per formula unit. The value obtained for the formation energy without anion corrections is 1.087 eV/atom. The calculation puts the density of states at the Fermi level at 1.272 states/eV per atom. Its crystal system is tetragonal.